A relaxed Zr6GeC2N3 crystal. Source: Alexandria via LeMat-Bulk, functional PBE-GGA.

The space group is C2/m (No. 12) and the conventional cell measures 14.8166, 3.3662 and 6.9125 Å, with angles of 90.00, 103.08 and 90.00 degrees. The inequivalent atoms are Zr at (0.0002, 0.0000, 0.2183), Zr at (0.1700, 0.5000, 0.0788), Zr at (0.1795, 0.5000, 0.6022), Ge at (0.0000, 0.5000, 0.5000), C at (0.1693, 0.0000, 0.8362), N at (0.0000, 0.5000, 0.0000) and N at (0.1678, 0.0000, 0.3285).

The volume is 13.99 A^3/atom. Its total energy is -9.350 eV per atom. The value obtained for the raw formation energy is -1.07 eV/atom. The density of states at the Fermi level is 8.0 states/eV/cell.